First-principles (GGA+U) data for CaMn2BeF after structural relaxation, as listed in the Alexandria database.

Summary:
final energy	-22.50	eV per formula unit
total magnetization	8.5	μB/f.u.

abc: 5.3977 5.3977 3.3838
angles: 90.00 90.00 90.00
Positions (direct):
1 Ca 0.0000 0.0000 0.0000
2 Mn 0.0000 0.5000 0.5000
3 Mn 0.5000 0.0000 0.5000
4 Be 0.5000 0.5000 0.0000
5 F 0.5000 0.5000 0.5000